An optimized crystal structure of LaSm2Se. Source: the Alexandria database, functional PBE.

For the raw formation energy, the calculation gives -0.62 eV/atom. Its energy above the most stable polymorph in this dataset is 0.1856 eV/atom. The energy is -5.09 eV/atom. As for the crystal system: trigonal.

abc: 10.8235 10.8235 10.8235
angles: 20.34 20.34 20.34
Last column: nearest neighbours and their distance in Å.
Atoms (fractional coordinates):
1 La 0.0000 0.0000 0.0000  2 Sm 3.47, 6 La 3.82
2 Sm 0.1093 0.1093 0.1093  3 Se 2.86
3 Sm 0.8907 0.8907 0.8907  3 Se 2.86
4 Se 0.5000 0.5000 0.5000  6 Sm 2.86

An optimized crystal structure of Ba2TcNiTe. Source: the Alexandria database, functional PBE.

For the raw formation energy, the calculation gives 0.08 eV/atom. The energy is -4.55 eV/atom. As for the crystal system: tetragonal.

abc: 5.9649 5.9649 4.4695
angles: 90.00 90.00 90.00
Last column: nearest neighbours and their distance in Å.
Atoms (fractional coordinates):
1 Ba 0.0000 0.5000 0.0000  2 Tc 2.98
2 Ba 0.5000 0.0000 0.0000  2 Tc 2.98
3 Tc 0.0000 0.0000 0.0000  2 Ni 2.23
4 Ni 0.0000 0.0000 0.5000  2 Tc 2.23
5 Te 0.5000 0.5000 0.5000  8 Ba 3.73

An optimized crystal structure of CrCu2Rh. Source: the Alexandria database, functional PBE.

The energy is -6.23 eV/atom. As for the crystal system: orthorhombic.

abc: 2.7648 3.5341 5.3147
angles: 90.00 90.00 90.00
Last column: nearest neighbours and their distance in Å.
Atoms (fractional coordinates):
1 Cr 0.0000 0.0000 0.0000  4 Rh 2.54, 6 Cu 2.63-2.68, 2 Cr 2.76
2 Cu 0.0000 0.0000 0.4957  6 Cu 2.53-2.76, 2 Cr 2.63-2.68, 4 Rh 2.69
3 Cu 0.5000 0.5000 0.2739  6 Cu 2.53-2.76, 2 Rh 2.64-2.67, 4 Cr 2.67
4 Rh 0.5000 0.5000 0.7766  4 Cr 2.54, 6 Cu 2.64-2.69, 2 Rh 2.76